Here is a relaxed LaMn2W crystal from the Alexandria database. Energies are from PBE-GGA.

Computed properties:
The calculation puts the density of states at the Fermi level at 1.291 states/eV per atom. The formation enthalpy at 0 K is 0.8089 eV per atom. The calculation puts the total DFT energy (no corrections) at -33.0 eV for the cell shown. The value obtained for the size of the total moment is 7.0 μB per cell.

abc: 4.177 4.207 4.260
angles: 90.00 90.00 90.00
Sites, in units of the cell vectors:
La 0.000 0.000 0.000
Mn 0.500 0.000 0.500
Mn 0.500 0.500 0.000
W 0.000 0.500 0.500